Here is crystalline CuSnWO6 at its relaxed geometry from Alexandria. Energies are from PBE with a Hubbard U. Values from VASP.

**Calculated total energy**: -6.36 eV per atom
**Spin magnetization**: 2.01 μB per cell
**V**: 12.0 Å³/atom
**Calculated density**: 7.09 g cm⁻³
**Space group**: P-31c

Structure (Quantum ESPRESSO input):
```
&SYSTEM
  ibrav = 0, nat = 18, ntyp = 4
/
ATOMIC_SPECIES
Cu 63.55 Cu.upf
Sn 118.71 Sn.upf
W 183.84 W.upf
O 16.00 O.upf
ATOMIC_POSITIONS crystal
Cu 0.000 0.000 0.000
Cu 0.000 0.000 0.500
Sn 0.667 0.333 0.250
Sn 0.333 0.667 0.750
W 0.333 0.667 0.250
W 0.667 0.333 0.750
O 0.641 0.659 0.130
O 0.019 0.359 0.130
O 0.359 0.019 0.630
O 0.981 0.641 0.870
O 0.341 0.359 0.370
O 0.019 0.659 0.370
O 0.659 0.019 0.870
O 0.641 0.981 0.370
O 0.981 0.341 0.630
O 0.341 0.981 0.130
O 0.659 0.641 0.630
O 0.359 0.341 0.870
CELL_PARAMETERS angstrom
5.277 0.000 0.000
-2.638 4.570 0.000
0.000 0.000 8.982
```